A plane-wave DFT calculation with GGA-PBE was carried out for a relaxed DyCoPt crystal.

For the density, the calculation gives 10.99 g/cm³. The energy relative to the elements comes out at -24 kJ per mole of atoms.

a = 4.4644 Å, b = 4.4644 Å, c = 4.4644 Å
α = 60.00°, β = 60.00°, γ = 60.00°
Closest atoms and distances in Å follow each position.
Atoms (fractional coordinates):
Dy1 0.0000 0.0000 0.0000  4 Pt 2.73
Co1 0.5000 0.5000 0.5000  4 Pt 2.73
Pt1 0.7500 0.7500 0.7500  4 Dy 2.73, 4 Co 2.73

---

A plane-wave DFT calculation with GGA-PBE was carried out for a relaxed SmBeNO crystal.

The calculation puts the distance to the lowest polymorph of the same formula at 661 meV per atom. For the density, the calculation gives 6.09 g/cm³.

a = 4.6730 Å, b = 4.6730 Å, c = 4.7318 Å
α = 90.00°, β = 90.00°, γ = 90.00°
Closest atoms and distances in Å follow each position.
Atoms (fractional coordinates):
Sm1 0.2500 0.7500 0.0000  2 O 2.37, 4 N 2.38
Sm2 0.7500 0.2500 0.0000  2 O 2.37, 4 N 2.38
Be1 0.2500 0.2500 0.4189  1 N 1.55
Be2 0.7500 0.7500 0.5811  1 N 1.55
N1 0.2500 0.2500 0.0905  1 Be 1.55
N2 0.7500 0.7500 0.9095  1 Be 1.55
O1 0.2500 0.7500 0.5000  2 Sm 2.37, 4 Be 2.37
O2 0.7500 0.2500 0.5000  2 Sm 2.37, 4 Be 2.37

---

A plane-wave DFT calculation with GGA-PBE was carried out for a relaxed Pm2Ge3 crystal.

The total energy is -5.39 eV per atom. For the density, the calculation gives 7.14 g/cm³.

a = 7.3985 Å, b = 7.3985 Å, c = 4.3143 Å
α = 90.00°, β = 90.00°, γ = 90.00°
Closest atoms and distances in Å follow each position.
Atoms (fractional coordinates):
Pm1 0.1805 0.3195 0.0000  6 Ge 2.99-3.14
Pm2 0.3195 0.8195 0.0000  6 Ge 2.99-3.14
Pm3 0.6805 0.1805 0.0000  6 Ge 2.99-3.14
Pm4 0.8195 0.6805 0.0000  6 Ge 2.99-3.14
Ge1 0.0000 0.0000 0.5000  4 Ge 2.94
Ge2 0.1215 0.6215 0.5000  1 Ge 2.54
Ge3 0.3785 0.1215 0.5000  1 Ge 2.54
Ge4 0.5000 0.5000 0.5000  4 Ge 2.94
Ge5 0.6215 0.8785 0.5000  1 Ge 2.54
Ge6 0.8785 0.3785 0.5000  1 Ge 2.54

---

A plane-wave DFT calculation with GGA-PBE was carried out for a relaxed YHfNO crystal.

The calculation puts the distance to the lowest polymorph of the same formula at 50 meV per atom. For the density, the calculation gives 8.26 g/cm³.

a = 4.6593 Å, b = 3.8586 Å, c = 6.6476 Å
α = 90.00°, β = 90.00°, γ = 90.00°
Closest atoms and distances in Å follow each position.
Atoms (fractional coordinates):
Y1 0.2500 0.0000 0.1550  2 N 2.35, 3 O 2.36-2.43
Y2 0.7500 0.0000 0.8450  2 N 2.35, 3 O 2.36-2.43
Hf1 0.2500 0.5000 0.6688  1 N 2.07, 2 O 2.09
Hf2 0.7500 0.5000 0.3312  1 N 2.07, 2 O 2.09
N1 0.2500 0.5000 0.3573  1 Hf 2.07
N2 0.7500 0.5000 0.6427  1 Hf 2.07
O1 0.2500 0.0000 0.7894  2 Hf 2.09
O2 0.7500 0.0000 0.2106  2 Hf 2.09